(1)
A plane-wave DFT calculation with PBE was carried out for an optimized crystal structure of GaCu5Ni.

E_form	688.1	meV per atom
density	5.933	Mg/m³
energy relative to the lowest polymorph listed for this composition	605.1	meV per atom

abc: 6.3609 8.4924 4.6230
angles: 90.00 90.00 90.00
With the nearest neighbours (Å) after each atom.
Space group Imm2 (No. 44)
One atom of each set of equivalent atoms:
Ga 0.0000 0.0000 0.0000 [2 per cell]  6 Cu 2.24-2.38
Cu 0.0000 0.0000 0.5152 [2 per cell]  2 Ga 2.24-2.38, 2 Cu 2.38
Cu 0.0000 0.2718 0.9436 [4 per cell]  1 Ga 2.32, 1 Ni 2.41, 2 Cu 2.43
Cu 0.1812 0.5000 0.7467 [4 per cell]  4 Cu 2.31-2.43, 1 Ga 2.33, 1 Ni 2.56
Ni 0.0000 0.5000 0.2530 [2 per cell]  6 Cu 2.41-2.61

(2)
A plane-wave DFT calculation with PBE was carried out for an optimized crystal structure of GaCuNi6.

E_form	-118.7	meV per atom
density	8.928	Mg/m³
energy relative to the lowest polymorph listed for this composition	0.0	meV per atom

abc: 7.0958 10.0941 10.0840
angles: 90.00 90.00 90.00
With the nearest neighbours (Å) after each atom.
Space group Cmmm (No. 65)
One atom of each set of equivalent atoms:
Ga 0.0000 0.0000 0.2490 [4 per cell]  12 Ni 2.51-2.53
Ga 0.0000 0.2498 0.5000 [4 per cell]  12 Ni 2.52-2.54
Cu 0.0000 0.2499 0.0000 [4 per cell]  12 Ni 2.50-2.52
Cu 0.0000 0.5000 0.2484 [4 per cell]  12 Ni 2.50-2.54
Ni 0.0000 0.0000 0.0000 [2 per cell]  2 Ga 2.51, 8 Ni 2.52, 2 Cu 2.52
Ni 0.0000 0.0000 0.5000 [2 per cell]  4 Ga 2.52-2.53, 8 Ni 2.52
Ni 0.0000 0.2497 0.2486 [8 per cell]  2 Cu 2.51-2.53, 8 Ni 2.51-2.53, 2 Ga 2.52-2.54
Ni 0.0000 0.5000 0.0000 [2 per cell]  4 Cu 2.50-2.52, 8 Ni 2.51
Ni 0.0000 0.5000 0.5000 [2 per cell]  8 Ni 2.51, 2 Ga 2.53, 2 Cu 2.54
Ni 0.2488 0.3747 0.1241 [16 per cell]  8 Ni 2.50-2.53, 3 Cu 2.50-2.52, 1 Ga 2.52
Ni 0.2487 0.3753 0.3742 [16 per cell]  8 Ni 2.51-2.54, 1 Cu 2.51, 3 Ga 2.52-2.53

(3)
A plane-wave DFT calculation with PBE was carried out for an optimized crystal structure of GaCuNi.

E_form	-25.1	meV per atom
density	7.282	Mg/m³
energy relative to the lowest polymorph listed for this composition	210.3	meV per atom

abc: 6.1797 7.4042 15.3069
angles: 90.00 90.00 90.00
With the nearest neighbours (Å) after each atom.
Space group Fddd (No. 70, origin choice 2)
One atom of each set of equivalent atoms:
Ga 0.1250 0.3104 0.1250 [16 per cell]  4 Ni 2.43-2.44, 2 Cu 2.50
Cu 0.0000 0.0000 0.5000 [16 per cell]  2 Cu 2.41, 2 Ga 2.50, 2 Ni 2.50
Ni 0.1250 0.1250 0.2565 [16 per cell]  2 Ni 2.42, 4 Ga 2.43-2.44, 2 Cu 2.50

(4)
A plane-wave DFT calculation with PBE was carried out for an optimized crystal structure of GaCu5Ni4.

E_form	124.2	meV per atom
density	7.891	Mg/m³

abc: 12.0268 3.9230 5.5504
angles: 90.00 90.44 90.00
With the nearest neighbours (Å) after each atom.
Space group C2/m (No. 12)
One atom of each set of equivalent atoms:
Ga 0.0000 0.0000 0.0000 [2 per cell]  6 Ni 2.36-2.40
Cu 0.0000 0.0000 0.5000 [2 per cell]  6 Ni 2.37-2.42
Cu 0.1712 0.5000 0.5209 [4 per cell]  5 Ni 2.39-2.55, 1 Cu 2.58
Cu 0.1765 0.5000 0.9863 [4 per cell]  5 Ni 2.39-2.59, 3 Cu 2.58-2.64
Ni 0.0109 0.5000 0.2469 [4 per cell]  2 Ga 2.40, 6 Cu 2.42-2.59, 2 Ni 2.65
Ni 0.1590 0.0000 0.2516 [4 per cell]  1 Ga 2.36, 7 Cu 2.37-2.47

(5)
A plane-wave DFT calculation with PBE was carried out for an optimized crystal structure of Ga2CuNi3.

E_form	-265.5	meV per atom
density	8.707	Mg/m³
energy relative to the lowest polymorph listed for this composition	32.4	meV per atom

abc: 2.9925 2.9925 8.0729
angles: 90.00 90.00 90.00
With the nearest neighbours (Å) after each atom.
Space group P4/mmm (No. 123)
One atom of each set of equivalent atoms:
Ga 0.0000 0.0000 0.1751 [2 per cell]  8 Ni 2.47-2.54, 1 Cu 2.62
Cu 0.0000 0.0000 0.5000 [1 per cell]  8 Ni 2.51, 2 Ga 2.62
Ni 0.5000 0.5000 0.0000 [1 per cell]  8 Ga 2.54, 2 Ni 2.69
Ni 0.5000 0.5000 0.3331 [2 per cell]  4 Ga 2.47, 4 Cu 2.51, 2 Ni 2.69

(6)
A plane-wave DFT calculation with PBE was carried out for an optimized crystal structure of GaCuNi.

E_form	-231.0	meV per atom
density	8.630	Mg/m³
energy relative to the lowest polymorph listed for this composition	4.5	meV per atom

abc: 7.8343 3.7656 5.1242
angles: 90.00 102.21 90.00
With the nearest neighbours (Å) after each atom.
Space group Cm (No. 8)
One atom of each set of equivalent atoms:
Ga 0.0000 0.0000 0.0000 [2 per cell]  5 Cu 2.51-2.61, 5 Ni 2.54-2.59
Ga 0.1839 0.5000 0.3662 [2 per cell]  6 Ni 2.48-2.69, 4 Cu 2.51-2.63
Cu 0.1729 0.5000 0.8518 [2 per cell]  5 Ga 2.51-2.62, 3 Cu 2.52-2.58, 4 Ni 2.67-2.72
Cu 0.3463 0.0000 0.6813 [2 per cell]  3 Cu 2.52-2.58, 5 Ni 2.54-2.59, 4 Ga 2.61-2.63
Ni 0.0154 0.0000 0.4998 [2 per cell]  5 Ga 2.48-2.59, 5 Cu 2.56-2.72, 2 Ni 2.69
Ni 0.3353 0.0000 0.1817 [2 per cell]  6 Ga 2.51-2.69, 4 Cu 2.54-2.67, 2 Ni 2.69

(7)
A plane-wave DFT calculation with PBE was carried out for an optimized crystal structure of Ga6CuNi3.

E_form	-166.1	meV per atom
density	7.317	Mg/m³

abc: 6.6709 6.0731 9.1117
angles: 90.00 126.00 90.00
With the nearest neighbours (Å) after each atom.
Space group P2_1/c (No. 14)
One atom of each set of equivalent atoms:
Ga 0.0363 0.0404 0.2780 [4 per cell]  3 Ni 2.41-2.45, 1 Cu 2.52, 1 Ga 2.69
Ga 0.2482 0.6749 0.0945 [4 per cell]  3 Ni 2.39-2.67, 1 Cu 2.53, 1 Ga 2.65
Ga 0.3855 0.1134 0.0593 [4 per cell]  4 Ni 2.40-2.58, 1 Cu 2.62, 1 Ga 2.65
Cu 0.5000 0.0000 0.5000 [2 per cell]  6 Ga 2.52-2.62, 2 Ni 2.62
Ni 0.0000 0.0000 0.0000 [2 per cell]  6 Ga 2.39-2.41
Ni 0.2892 0.1889 0.7544 [4 per cell]  7 Ga 2.45-2.67, 1 Cu 2.62, 1 Ni 2.72

(8)
A plane-wave DFT calculation with PBE was carried out for an optimized crystal structure of GaCu6Ni2.

E_form	-29.8	meV per atom
density	8.705	Mg/m³
energy relative to the lowest polymorph listed for this composition	0.0	meV per atom

abc: 9.3055 8.6347 6.6311
angles: 90.00 125.51 90.00
With the nearest neighbours (Å) after each atom.
Space group C2/c (No. 15)
One atom of each set of equivalent atoms:
Ga 0.0000 0.1572 0.2500 [4 per cell]  4 Ni 2.41-2.52, 6 Cu 2.55-2.63
Cu 0.0488 0.3757 0.9696 [8 per cell]  7 Cu 2.44-2.66, 3 Ni 2.47-2.59
Cu 0.1086 0.1014 0.6948 [8 per cell]  8 Cu 2.51-2.79, 1 Ni 2.53, 2 Ga 2.55-2.56
Cu 0.2305 0.1438 0.1422 [8 per cell]  7 Cu 2.44-2.63, 2 Ni 2.49-2.51, 1 Ga 2.63
Ni 0.1769 0.3884 0.4220 [8 per cell]  2 Ga 2.41-2.52, 6 Cu 2.47-2.59, 1 Ni 2.65

Number 1: total DFT energy (no corrections) -24.47 eV/f.u.. Number 2: total DFT energy (no corrections) -42.76 eV/f.u.. Number 3: total DFT energy (no corrections) -12.98 eV/f.u.. Number 4: total DFT energy (no corrections) -45.39 eV/f.u.. Number 5: total DFT energy (no corrections) -29.09 eV/f.u.. Number 6: total DFT energy (no corrections) -13.60 eV/f.u.. Number 7: total DFT energy (no corrections) -41.26 eV/f.u.. Number 8: total DFT energy (no corrections) -39.43 eV/f.u..